The following is a DFT calculation (PBE) of Pm3TmP4 after structural relaxation.

The structure in POSCAR format:
```
Pm3TmP4
1.0
4.090 0.000 0.000
0.000 7.077 -0.067
0.000 -2.295 6.695
Pm Tm P
3 1 4
Cartesian
0.000 -1.147 3.347
2.045 2.391 3.314
0.000 3.539 -0.034
2.045 0.000 0.000
0.000 1.160 1.608
2.045 4.770 1.598
0.000 3.622 5.020
2.045 0.013 5.030
```

Output
E   -6.61 eV/atom
Volume   24.1 Å³ per atom
SG   Cmmm (65)
Energy of formation   -1.56 eV/atom

The following is a DFT calculation (PBE) of PmTm3P4 after structural relaxation.

The structure in POSCAR format:
```
PmTm3P4
1.0
-0.804 -3.906 0.292
5.576 -1.434 -3.837
5.491 -0.821 4.129
P Tm Pm
4 3 1
Cartesian
7.498 -5.602 0.450
5.195 -3.243 -1.699
1.963 -4.465 0.425
5.069 -2.919 2.282
2.344 -2.364 2.210
4.688 -4.727 4.421
4.730 -5.034 0.438
7.878 -3.491 2.356
```

Output
E   -6.56 eV/atom
Volume   22.6 Å³ per atom
SG   Cmmm (65)
Energy of formation   -1.58 eV/atom

The following is a DFT calculation (PBE) of Pm3TmP4 after structural relaxation.

The structure in POSCAR format:
```
Pm3TmP4
1.0
-0.791 2.609 -6.533
5.008 -5.000 -0.042
-5.679 -5.674 -1.578
P Tm Pm
8 2 6
Cartesian
-3.126 -2.204 -7.509
-4.176 -4.895 -4.666
-1.264 -2.044 -3.835
0.527 -1.895 -0.203
-1.988 -6.171 -7.950
-0.198 -6.022 -4.318
2.714 -3.172 -3.486
1.664 -5.862 -0.644
-5.569 -3.015 -6.282
-0.902 -0.051 -1.829
-2.716 -0.165 -5.490
-3.754 -2.901 -2.621
-1.646 -4.098 -5.909
1.206 -1.248 -5.117
0.184 -3.968 -2.244
-2.667 -6.818 -3.036
```

Output
E   -6.61 eV/atom
Volume   24.1 Å³ per atom
SG   P2/c (13)
Energy of formation   -1.56 eV/atom

The following is a DFT calculation (PBE) of Pm2TmP after structural relaxation.

The structure in POSCAR format:
```
Pm2TmP
1.0
3.886 0.000 0.000
1.943 3.365 0.000
1.943 1.122 9.445
P Tm Pm
1 1 2
Cartesian
0.000 0.000 0.000
3.886 2.244 4.723
1.943 1.122 1.701
5.829 3.365 7.744
```

Output
E   -5.46 eV/atom
Volume   30.9 Å³ per atom
SG   R-3m (166)
Energy of formation   -0.62 eV/atom

The following is a DFT calculation (PBE) of Pm2TmP3 after structural relaxation.

The structure in POSCAR format:
```
Pm2TmP3
1.0
6.958 -0.023 -1.163
-3.750 5.860 -1.163
-0.013 -0.024 7.052
Pm Tm P
4 2 6
Cartesian
5.166 0.945 2.363
-0.181 3.899 -1.163
-1.960 4.861 2.362
1.585 2.913 2.363
-3.759 5.834 5.888
3.384 1.941 -1.163
0.639 5.392 3.581
-1.014 2.383 1.144
4.147 3.393 3.596
0.821 1.420 4.759
2.554 0.494 1.129
2.436 4.359 -0.034
```

Output
E   -6.60 eV/atom
Volume   23.9 Å³ per atom
SG   C2/m (12)
Energy of formation   -1.57 eV/atom

The following is a DFT calculation (PBE) of Pm2TmUP4 after structural relaxation.

The structure in POSCAR format:
```
Pm2TmUP4
1.0
-1.421 2.251 3.010
-6.193 0.319 -3.163
0.136 -5.571 4.231
Pm Tm U P
2 1 1 4
Cartesian
-0.642 -1.660 3.621
-3.028 -2.626 0.534
-3.807 1.285 -0.076
0.000 0.000 0.000
-2.183 -0.105 1.731
-5.295 -2.895 2.348
-1.447 -4.183 2.446
-4.610 -1.068 -1.377
```

Output
E   -7.29 eV/atom
Volume   23.1 Å³ per atom
SG   P2/m (10)
Energy of formation   -1.42 eV/atom